First-principles (PBE) data for a relaxed ZrScAl3 crystal, as listed in Alexandria.

Summary:
Its calculated total energy is -4.38 eV/atom. The value obtained for the energy above the most stable polymorph in this dataset is 212 meV/atom. The value obtained for the calculated volume is 117 Å³ per cell. The formation energy is 0.84 eV per atom.

Cell and atoms, written as CIF:
```
data_ZrScAl3
_chemical_formula_sum 'Zr1 Sc1 Al3'
_cell_length_a 4.898
_cell_length_b 4.898
_cell_length_c 4.898
_cell_angle_alpha 90.00
_cell_angle_beta 90.00
_cell_angle_gamma 90.00
_space_group_name_H-M_alt 'P 1'
_space_group_IT_number 1
loop_
_space_group_symop_operation_xyz
'x,y,z'
loop_
_atom_site_label
_atom_site_fract_x
_atom_site_fract_y
_atom_site_fract_z
Zr1 0.000 0.000 0.000
Sc1 0.500 0.500 0.500
Al1 0.000 0.500 0.500
Al2 0.500 0.000 0.500
Al3 0.500 0.500 0.000
```